DFT (PBE-GGA) results for a geometry-optimized SbP3 structure.

DFT total energy: -17.4 eV per cell
ΔE_f (raw): 2.919 eV/f.u.
DOS at the Fermi energy: 2.2 states/eV/f.u.

Structure (POSCAR):
```
SbP3
1.0
-1.834 1.834 5.708
1.834 -1.834 5.708
1.834 1.834 -5.708
Sb P
1 3
Direct
0.000 0.000 0.000
0.250 0.750 0.500
0.500 0.500 0.000
0.750 0.250 0.500
```

DFT (PBE-GGA) results for a geometry-optimized CaAcGeAu structure.

DFT total energy: -17.0 eV per cell
ΔE_f: -0.749 eV/atom
DOS at the Fermi energy: 1.0 states/eV/f.u.

Structure (POSCAR):
```
CaAcGeAu
1.0
0.000 3.801 3.801
3.801 0.000 3.801
3.801 3.801 0.000
Ca Ac Ge Au
1 1 1 1
Direct
0.000 0.000 0.000
0.500 0.500 0.500
0.750 0.750 0.750
0.250 0.250 0.250
```

DFT (PBE-GGA) results for a geometry-optimized CeHgAs2 structure.

DFT total energy: -17.5 eV per cell
ΔE_f: -0.486 eV/atom

Structure (POSCAR):
```
CeHgAs2
1.0
2.255 1.302 7.745
-2.255 1.302 7.745
0.000 -2.604 7.745
Ce Hg As
1 1 2
Direct
0.000 0.000 0.000
0.500 0.500 0.500
0.392 0.392 0.392
0.608 0.608 0.608
```

DFT (PBE-GGA) results for a geometry-optimized MnCoP2 structure.

DFT total energy: -27.5 eV per cell
ΔE_f: -0.109 eV/atom
DOS at the Fermi energy: 2.8 states/eV/f.u.

Structure (POSCAR):
```
MnCoP2
1.0
-1.408 1.866 4.430
1.408 -1.866 4.430
1.408 1.866 -4.430
Mn Co P
1 1 2
Direct
0.000 0.000 0.000
0.707 0.207 0.500
0.210 0.710 0.500
0.495 0.495 0.000
```